Record 1
Material: LaIn3Rh3
Method: DFT, PBE
State: relaxed

* E_form: 0.09 eV/atom

CIF file:
```
data_LaIn3Rh3
_chemical_formula_sum 'La2 In6 Rh6'
_space_group_name_H-M_alt 'P m -3 n'
_space_group_IT_number 223
_space_group_name_Hall '-P 4n 2 3'
_cell_length_a 7.195
_cell_length_b 7.195
_cell_length_c 7.195
_cell_angle_alpha 90.00
_cell_angle_beta 90.00
_cell_angle_gamma 90.00
loop_
_atom_site_label
_atom_site_fract_x
_atom_site_fract_y
_atom_site_fract_z
La1 0.000 0.000 0.000
In1 0.000 0.250 0.500
Rh1 0.000 0.500 0.250
```



Record 2
Material: Ta3TlOs
Method: DFT, PBE
State: relaxed

* E_form: 1.05 eV/atom

CIF file:
```
data_Ta3TlOs
_chemical_formula_sum 'Ta3 Tl1 Os1'
_space_group_name_H-M_alt 'P m -3 m'
_space_group_IT_number 221
_space_group_name_Hall '-P 4 2 3'
_cell_length_a 4.885
_cell_length_b 4.885
_cell_length_c 4.885
_cell_angle_alpha 90.00
_cell_angle_beta 90.00
_cell_angle_gamma 90.00
loop_
_atom_site_label
_atom_site_fract_x
_atom_site_fract_y
_atom_site_fract_z
Ta1 0.000 0.000 0.500
Tl1 0.500 0.500 0.500
Os1 0.000 0.000 0.000
```



Record 3
Material: CdSi2W
Method: DFT, PBE
State: relaxed

* uncorrected formation energy: 23.1 kJ per mole of atoms

CIF file:
```
data_CdSi2W
_chemical_formula_sum 'Cd1 Si2 W1'
_space_group_name_H-M_alt 'P 1 2/m 1'
_space_group_IT_number 10
_cell_length_a 3.376
_cell_length_b 2.974
_cell_length_c 7.172
_cell_angle_alpha 90.00
_cell_angle_beta 102.32
_cell_angle_gamma 90.00
loop_
_space_group_symop_operation_xyz
'x,y,z'
'-x,-y,-z'
'-x,y,-z'
'x,-y,z'
loop_
_atom_site_label
_atom_site_fract_x
_atom_site_fract_y
_atom_site_fract_z
Cd1 0.000 0.000 0.000
Si1 0.418 0.500 0.312
W1 0.000 0.000 0.500
```



Record 4
Material: CrTcIr2
Method: DFT, PBE
State: relaxed

* E_form: -0.14 eV/atom

CIF file:
```
data_CrTcIr2
_chemical_formula_sum 'Cr2 Tc2 Ir4'
_space_group_name_H-M_alt 'I -4 m 2'
_space_group_IT_number 119
_space_group_name_Hall 'I -4 -2'
_cell_length_a 3.825
_cell_length_b 3.825
_cell_length_c 7.621
_cell_angle_alpha 90.00
_cell_angle_beta 90.00
_cell_angle_gamma 90.00
loop_
_atom_site_label
_atom_site_fract_x
_atom_site_fract_y
_atom_site_fract_z
Cr1 0.000 0.000 0.000
Tc1 0.000 0.500 0.750
Ir1 0.000 0.000 0.500
Ir2 0.000 0.500 0.250
```



Record 5
Material: TbSmThC
Method: DFT, PBE
State: relaxed

* E_form: -0.15 eV/atom

CIF file:
```
data_TbSmThC
_chemical_formula_sum 'Tb3 Sm3 Th3 C3'
_space_group_name_H-M_alt 'R 3 m'
_space_group_IT_number 160
_space_group_name_Hall 'R 3 -2"'
_cell_length_a 3.6201
_cell_length_b 3.6201
_cell_length_c 27.9189
_cell_angle_alpha 90.00
_cell_angle_beta 90.00
_cell_angle_gamma 120.00
loop_
_atom_site_label
_atom_site_fract_x
_atom_site_fract_y
_atom_site_fract_z
Tb1 0.0000 0.0000 0.0000
Sm1 0.0000 0.0000 0.2209
Th1 0.0000 0.0000 0.7689
C1 0.0000 0.0000 0.3850
```



Record 6
Material: CsBaIN2
Method: DFT, PBE
State: relaxed

* uncorrected formation energy: 45.9 kJ per mole of atoms

CIF file:
```
data_CsBaIN2
_chemical_formula_sum 'Cs1 Ba1 I1 N2'
_space_group_name_H-M_alt 'P 4/m m m'
_space_group_IT_number 123
_space_group_name_Hall '-P 4 2'
_cell_length_a 5.402
_cell_length_b 5.402
_cell_length_c 7.052
_cell_angle_alpha 90.00
_cell_angle_beta 90.00
_cell_angle_gamma 90.00
loop_
_atom_site_label
_atom_site_fract_x
_atom_site_fract_y
_atom_site_fract_z
Cs1 0.000 0.000 0.000
Ba1 0.500 0.500 0.500
I1 0.500 0.500 0.000
N1 0.000 0.500 0.500
```



Record 7
Material: LaNd5Tl2In
Method: DFT, PBE
State: relaxed

* E_form: -0.14 eV/atom

CIF file:
```
data_LaNd5Tl2In
_chemical_formula_sum 'La4 Nd20 Tl8 In4'
_space_group_name_H-M_alt 'I 4/m c m'
_space_group_IT_number 140
_space_group_name_Hall '-I 4 2c'
_cell_length_a 8.111
_cell_length_b 8.111
_cell_length_c 18.422
_cell_angle_alpha 90.00
_cell_angle_beta 90.00
_cell_angle_gamma 90.00
loop_
_atom_site_label
_atom_site_fract_x
_atom_site_fract_y
_atom_site_fract_z
La1 0.000 0.000 0.250
Nd1 0.000 0.000 0.000
Nd2 0.192 0.308 0.128
Tl1 0.123 0.377 0.500
In1 0.000 0.500 0.250
```



Record 8
Material: SrPmPCl
Method: DFT, PBE
State: relaxed

* uncorrected formation energy: -149.4 kJ per mole of atoms

CIF file:
```
data_SrPmPCl
_chemical_formula_sum 'Sr3 Pm3 P3 Cl3'
_space_group_name_H-M_alt 'R 3 m'
_space_group_IT_number 160
_space_group_name_Hall 'R 3 -2"'
_cell_length_a 4.1585
_cell_length_b 4.1585
_cell_length_c 22.2765
_cell_angle_alpha 90.00
_cell_angle_beta 90.00
_cell_angle_gamma 120.00
loop_
_atom_site_label
_atom_site_fract_x
_atom_site_fract_y
_atom_site_fract_z
Sr1 0.0000 0.0000 0.0000
Pm1 0.0000 0.0000 0.8082
P1 0.0000 0.0000 0.4097
Cl1 0.0000 0.0000 0.2318
```



Record 9
Material: CeHoLuHg
Method: DFT, PBE
State: relaxed

* E_form: 0.03 eV/atom

CIF file:
```
data_CeHoLuHg
_chemical_formula_sum 'Ce4 Ho4 Lu4 Hg4'
_space_group_name_H-M_alt 'F -4 3 m'
_space_group_IT_number 216
_space_group_name_Hall 'F -4 2 3'
_cell_length_a 7.458
_cell_length_b 7.458
_cell_length_c 7.458
_cell_angle_alpha 90.00
_cell_angle_beta 90.00
_cell_angle_gamma 90.00
loop_
_atom_site_label
_atom_site_fract_x
_atom_site_fract_y
_atom_site_fract_z
Ce1 0.000 0.000 0.000
Ho1 0.250 0.250 0.250
Lu1 0.250 0.250 0.750
Hg1 0.000 0.000 0.500
```



Record 10
Material: NaGd2Zr
Method: DFT, PBE
State: relaxed

* E_form: 0.17 eV/atom

CIF file:
```
data_NaGd2Zr
_chemical_formula_sum 'Na3 Gd6 Zr3'
_space_group_name_H-M_alt 'R -3 m'
_space_group_IT_number 166
_space_group_name_Hall '-R 3 2"'
_cell_length_a 3.4095
_cell_length_b 3.4095
_cell_length_c 36.7454
_cell_angle_alpha 90.00
_cell_angle_beta 90.00
_cell_angle_gamma 120.00
loop_
_atom_site_label
_atom_site_fract_x
_atom_site_fract_y
_atom_site_fract_z
Na1 0.0000 0.0000 0.0000
Gd1 0.0000 0.0000 0.0951
Zr1 0.0000 0.0000 0.5000
```



Record 11
Material: SbAuSeBr2
Method: DFT, PBE
State: relaxed

* uncorrected formation energy: 31.0 kJ per mole of atoms

CIF file:
```
data_SbAuSeBr2
_chemical_formula_sum 'Sb1 Au1 Se1 Br2'
_space_group_name_H-M_alt 'P 4/m m m'
_space_group_IT_number 123
_space_group_name_Hall '-P 4 2'
_cell_length_a 5.504
_cell_length_b 5.504
_cell_length_c 5.427
_cell_angle_alpha 90.00
_cell_angle_beta 90.00
_cell_angle_gamma 90.00
loop_
_atom_site_label
_atom_site_fract_x
_atom_site_fract_y
_atom_site_fract_z
Sb1 0.000 0.000 0.000
Au1 0.500 0.500 0.500
Se1 0.000 0.000 0.500
Br1 0.000 0.500 0.000
```



Record 12
Material: Be3PtO
Method: DFT, PBE
State: relaxed

* uncorrected formation energy: 56.8 kJ per mole of atoms

CIF file:
```
data_Be3PtO
_chemical_formula_sum 'Be3 Pt1 O1'
_space_group_name_H-M_alt 'P m -3 m'
_space_group_IT_number 221
_space_group_name_Hall '-P 4 2 3'
_cell_length_a 4.227
_cell_length_b 4.227
_cell_length_c 4.227
_cell_angle_alpha 90.00
_cell_angle_beta 90.00
_cell_angle_gamma 90.00
loop_
_atom_site_label
_atom_site_fract_x
_atom_site_fract_y
_atom_site_fract_z
Be1 0.000 0.000 0.500
Pt1 0.000 0.000 0.000
O1 0.500 0.500 0.500
```



Record 13
Material: Tb2Pm5Dy2
Method: DFT, PBE
State: relaxed

* E_form: 0.02 eV/atom

CIF file:
```
data_Tb2Pm5Dy2
_chemical_formula_sum 'Tb4 Pm10 Dy4'
_space_group_name_H-M_alt 'C 1 2/m 1'
_space_group_IT_number 12
_cell_length_a 11.422
_cell_length_b 5.100
_cell_length_c 10.813
_cell_angle_alpha 90.00
_cell_angle_beta 108.53
_cell_angle_gamma 90.00
loop_
_space_group_symop_operation_xyz
'x,y,z'
'-x,-y,-z'
'-x,y,-z'
'x,-y,z'
'x+1/2,y+1/2,z'
'-x+1/2,-y+1/2,-z'
'-x+1/2,y+1/2,-z'
'x+1/2,-y+1/2,z'
loop_
_atom_site_label
_atom_site_fract_x
_atom_site_fract_y
_atom_site_fract_z
Tb1 0.000 0.000 0.167
Pm1 0.000 0.000 0.500
Pm2 0.166 0.500 0.388
Pm3 0.167 0.500 0.055
Dy1 0.167 0.500 0.723
```



Record 14
Material: CuGeO3
Method: DFT, PBE
State: relaxed

* uncorrected formation energy: -106.5 kJ per mole of atoms

CIF file:
```
data_CuGeO3
_chemical_formula_sum 'Cu4 Ge4 O12'
_space_group_name_H-M_alt 'P 1 21/c 1'
_space_group_IT_number 14
_cell_length_a 4.933
_cell_length_b 6.855
_cell_length_c 6.305
_cell_angle_alpha 90.00
_cell_angle_beta 93.63
_cell_angle_gamma 90.00
loop_
_space_group_symop_operation_xyz
'x,y,z'
'-x,-y,-z'
'-x,y+1/2,-z+1/2'
'x,-y+1/2,z+1/2'
loop_
_atom_site_label
_atom_site_fract_x
_atom_site_fract_y
_atom_site_fract_z
Cu1 0.000 0.000 0.000
Cu2 0.000 0.000 0.500
Ge1 0.495 0.201 0.254
O1 0.149 0.116 0.254
O2 0.329 0.698 0.500
O3 0.342 0.045 0.684
```



Record 15
Material: LaZn2Cl2
Method: DFT, PBE
State: relaxed

* uncorrected formation energy: -33.4 kJ per mole of atoms

CIF file:
```
data_LaZn2Cl2
_chemical_formula_sum 'La1 Zn2 Cl2'
_space_group_name_H-M_alt 'P 4/m m m'
_space_group_IT_number 123
_space_group_name_Hall '-P 4 2'
_cell_length_a 6.239
_cell_length_b 6.239
_cell_length_c 5.386
_cell_angle_alpha 90.00
_cell_angle_beta 90.00
_cell_angle_gamma 90.00
loop_
_atom_site_label
_atom_site_fract_x
_atom_site_fract_y
_atom_site_fract_z
La1 0.000 0.000 0.000
Zn1 0.000 0.500 0.000
Cl1 0.000 0.000 0.500
Cl2 0.500 0.500 0.500
```



Record 16
Material: Rh3W
Method: DFT, PBE
State: relaxed

* E_form: -0.08 eV/atom

CIF file:
```
data_Rh3W
_chemical_formula_sum 'Rh3 W1'
_space_group_name_H-M_alt 'P -6 m 2'
_space_group_IT_number 187
_space_group_name_Hall 'P -6 2'
_cell_length_a 2.7732
_cell_length_b 2.7732
_cell_length_c 8.8313
_cell_angle_alpha 90.00
_cell_angle_beta 90.00
_cell_angle_gamma 120.00
loop_
_atom_site_label
_atom_site_fract_x
_atom_site_fract_y
_atom_site_fract_z
Rh1 0.0000 0.0000 0.0000
Rh2 0.6667 0.3333 0.2550
W1 0.0000 0.0000 0.5000
```



Record 17
Material: Y4Mg2H
Method: DFT, PBE
State: relaxed

* VASP energy: -4.6165 eV per atom

CIF file:
```
data_Y4Mg2H
_chemical_formula_sum 'Y8 Mg4 H2'
_space_group_name_H-M_alt 'I 4/m m m'
_space_group_IT_number 139
_space_group_name_Hall '-I 4 2'
_cell_length_a 4.790
_cell_length_b 4.790
_cell_length_c 16.162
_cell_angle_alpha 90.00
_cell_angle_beta 90.00
_cell_angle_gamma 90.00
loop_
_atom_site_label
_atom_site_fract_x
_atom_site_fract_y
_atom_site_fract_z
Y1 0.000 0.000 0.167
Y2 0.000 0.500 0.000
Mg1 0.000 0.000 0.366
H1 0.000 0.000 0.000
```



Record 18
Material: BPt2Rh
Method: DFT, PBE
State: relaxed

* E_form: -0.20 eV/atom

CIF file:
```
data_BPt2Rh
_chemical_formula_sum 'B2 Pt4 Rh2'
_space_group_name_H-M_alt 'P 1 21/m 1'
_space_group_IT_number 11
_cell_length_a 2.813
_cell_length_b 7.850
_cell_length_c 4.847
_cell_angle_alpha 90.00
_cell_angle_beta 90.11
_cell_angle_gamma 90.00
loop_
_space_group_symop_operation_xyz
'x,y,z'
'-x,-y,-z'
'-x,y+1/2,-z'
'x,-y+1/2,z'
loop_
_atom_site_label
_atom_site_fract_x
_atom_site_fract_y
_atom_site_fract_z
B1 0.250 0.250 0.084
Pt1 0.248 0.567 0.734
Rh1 0.251 0.750 0.239
```



Record 19
Material: Mg4Hg2O
Method: DFT, PBE
State: relaxed

* uncorrected formation energy: -70.3 kJ per mole of atoms

CIF file:
```
data_Mg4Hg2O
_chemical_formula_sum 'Mg8 Hg4 O2'
_space_group_name_H-M_alt 'I 4/m m m'
_space_group_IT_number 139
_space_group_name_Hall '-I 4 2'
_cell_length_a 4.212
_cell_length_b 4.212
_cell_length_c 14.995
_cell_angle_alpha 90.00
_cell_angle_beta 90.00
_cell_angle_gamma 90.00
loop_
_atom_site_label
_atom_site_fract_x
_atom_site_fract_y
_atom_site_fract_z
Mg1 0.000 0.000 0.163
Mg2 0.000 0.500 0.000
Hg1 0.000 0.000 0.355
O1 0.000 0.000 0.000
```



Record 20
Material: In3PdAu6
Method: DFT, PBE
State: relaxed

* E_form: 0.02 eV/atom

CIF file:
```
data_In3PdAu6
_chemical_formula_sum 'In9 Pd3 Au18'
_space_group_name_H-M_alt 'R 3 m'
_space_group_IT_number 160
_space_group_name_Hall 'R 3 -2"'
_cell_length_a 17.1327
_cell_length_b 17.1327
_cell_length_c 2.9623
_cell_angle_alpha 90.00
_cell_angle_beta 90.00
_cell_angle_gamma 120.00
loop_
_atom_site_label
_atom_site_fract_x
_atom_site_fract_y
_atom_site_fract_z
In1 0.1728 0.3455 0.0000
Pd1 0.0000 0.0000 0.3565
Au1 0.0941 0.1882 0.4625
Au2 0.1632 0.0816 0.8717
```



Record 21
Material: LiSc2Re
Method: DFT, PBE
State: relaxed

* E_form: 0.15 eV/atom

CIF file:
```
data_LiSc2Re
_chemical_formula_sum 'Li3 Sc6 Re3'
_space_group_name_H-M_alt 'R -3 m'
_space_group_IT_number 166
_space_group_name_Hall '-R 3 2"'
_cell_length_a 3.1852
_cell_length_b 3.1852
_cell_length_c 28.4089
_cell_angle_alpha 90.00
_cell_angle_beta 90.00
_cell_angle_gamma 120.00
loop_
_atom_site_label
_atom_site_fract_x
_atom_site_fract_y
_atom_site_fract_z
Li1 0.0000 0.0000 0.0000
Sc1 0.0000 0.0000 0.2365
Re1 0.0000 0.0000 0.5000
```



Record 22
Material: Nd4Ho3PuSe8
Method: DFT, PBE
State: relaxed

* uncorrected formation energy: -170.6 kJ per mole of atoms

CIF file:
```
data_Nd4Ho3PuSe8
_chemical_formula_sum 'Nd12 Ho9 Pu3 Se24'
_space_group_name_H-M_alt 'R -3 m'
_space_group_IT_number 166
_space_group_name_Hall '-R 3 2"'
_cell_length_a 8.2628
_cell_length_b 8.2628
_cell_length_c 20.5784
_cell_angle_alpha 90.00
_cell_angle_beta 90.00
_cell_angle_gamma 120.00
loop_
_atom_site_label
_atom_site_fract_x
_atom_site_fract_y
_atom_site_fract_z
Nd1 0.0000 0.0000 0.0000
Nd2 0.0000 0.5000 0.0000
Ho1 0.0000 0.5000 0.5000
Pu1 0.0000 0.0000 0.5000
Se1 0.0000 0.0000 0.2446
Se2 0.0032 0.5016 0.7545
```



Record 23
Material: ReNi2Se
Method: DFT, PBE
State: relaxed

* uncorrected formation energy: 23.0 kJ per mole of atoms

CIF file:
```
data_ReNi2Se
_chemical_formula_sum 'Re1 Ni2 Se1'
_space_group_name_H-M_alt 'P 4 m m'
_space_group_IT_number 99
_cell_length_a 3.059
_cell_length_b 3.059
_cell_length_c 5.596
_cell_angle_alpha 90.00
_cell_angle_beta 90.00
_cell_angle_gamma 90.00
loop_
_space_group_symop_operation_xyz
'x,y,z'
'-y,x,z'
'-x,-y,z'
'y,-x,z'
'-x,y,z'
'y,x,z'
'x,-y,z'
'-y,-x,z'
loop_
_atom_site_label
_atom_site_fract_x
_atom_site_fract_y
_atom_site_fract_z
Re1 0.000 0.000 0.000
Ni1 0.000 0.000 0.525
Ni2 0.500 0.500 0.748
Se1 0.500 0.500 0.285
```



Record 24
Material: Ac3NiPdCl
Method: DFT, PBE
State: relaxed

* uncorrected formation energy: -71.3 kJ per mole of atoms

CIF file:
```
data_Ac3NiPdCl
_chemical_formula_sum 'Ac6 Ni2 Pd2 Cl2'
_space_group_name_H-M_alt 'P 1 21/m 1'
_space_group_IT_number 11
_cell_length_a 8.514
_cell_length_b 4.276
_cell_length_c 10.502
_cell_angle_alpha 90.00
_cell_angle_beta 108.48
_cell_angle_gamma 90.00
loop_
_space_group_symop_operation_xyz
'x,y,z'
'-x,-y,-z'
'-x,y+1/2,-z'
'x,-y+1/2,z'
loop_
_atom_site_label
_atom_site_fract_x
_atom_site_fract_y
_atom_site_fract_z
Ac1 0.053 0.250 0.337
Ac2 0.215 0.250 0.009
Ac3 0.412 0.750 0.625
Ni1 0.173 0.250 0.624
Pd1 0.280 0.750 0.263
Cl1 0.385 0.750 0.899
```



Record 25
Material: Na2PmMgPb2
Method: DFT, PBE
State: relaxed

* E_form: -0.28 eV/atom

CIF file:
```
data_Na2PmMgPb2
_chemical_formula_sum 'Na4 Pm2 Mg2 Pb4'
_space_group_name_H-M_alt 'P m c 21'
_space_group_IT_number 26
_cell_length_a 4.965
_cell_length_b 9.300
_cell_length_c 7.656
_cell_angle_alpha 90.00
_cell_angle_beta 90.00
_cell_angle_gamma 90.00
loop_
_space_group_symop_operation_xyz
'x,y,z'
'-x,-y,z+1/2'
'-x,y,z'
'x,-y,z+1/2'
loop_
_atom_site_label
_atom_site_fract_x
_atom_site_fract_y
_atom_site_fract_z
Na1 0.000 0.070 0.000
Na2 0.500 0.163 0.301
Pm1 0.500 0.465 0.965
Mg1 0.000 0.311 0.633
Pb1 0.000 0.380 0.240
Pb2 0.500 0.171 0.728
```